*A*
## LaTa2Ir (PBE-GGA)

Data for an optimized crystal structure of LaTa2Ir.

space group = P2/m

Cell: 2.997 4.765 5.622 Å, 90.00 101.05 90.00°
Sites, in units of the cell vectors:
1 La 0.000 0.000 0.000
2 Ta 0.263 0.500 0.730
3 Ta 0.737 0.500 0.270
4 Ir 0.500 0.000 0.500

*B*
## LaTa2Ir (PBE-GGA)

Data for an optimized crystal structure of LaTa2Ir.

space group = P4/mmm

Cell: 2.960 2.960 9.251 Å, 90.00 90.00 90.00°
Sites, in units of the cell vectors:
1 La 0.000 0.000 0.000
2 Ta 0.500 0.500 0.301
3 Ta 0.500 0.500 0.699
4 Ir 0.000 0.000 0.500

The most stable arrangement is *B*, and the next structure is 0.152 eV/atom less stable.

*A*
## LaTa2Ir (PBE-GGA)

Data for an optimized crystal structure of LaTa2Ir.

space group = P4/mmm

Cell: 4.033 4.033 5.069 Å, 90.00 90.00 90.00°
Sites, in units of the cell vectors:
1 La 0.000 0.000 0.000
2 Ta 0.000 0.500 0.500
3 Ta 0.500 0.000 0.500
4 Ir 0.500 0.500 0.000

*B*
## LaTa2Ir (PBE-GGA)

Data for an optimized crystal structure of LaTa2Ir.

space group = Imm2

Cell: 5.853 5.853 5.853 Å, 149.26 127.61 61.98°
Sites, in units of the cell vectors:
1 La 0.000 0.000 0.000
2 Ta 0.278 0.778 0.500
3 Ta 0.527 0.527 0.000
4 Ir 0.739 0.239 0.500

*C*
## LaTa2Ir (PBE-GGA)

Data for an optimized crystal structure of LaTa2Ir.

space group = P4mm

Cell: 3.167 3.167 8.332 Å, 90.00 90.00 90.00°
Sites, in units of the cell vectors:
1 La 0.000 0.000 0.000
2 Ta 0.000 0.000 0.541
3 Ta 0.500 0.500 0.312
4 Ir 0.500 0.500 0.716

*D*
## LaTa2Ir (PBE-GGA)

Data for an optimized crystal structure of LaTa2Ir.

space group = C2/m

Cell: 5.819 5.819 5.183 Å, 104.23 104.23 29.88°
Sites, in units of the cell vectors:
1 La 0.000 0.000 0.000
2 Ta 0.210 0.210 0.690
3 Ta 0.790 0.790 0.310
4 Ir 0.500 0.500 0.500

The most stable arrangement is *C*, and the next structure is 0.133 eV/atom less stable.

*A*
## LaTa2Ir (PBE-GGA)

Data for an optimized crystal structure of LaTa2Ir.

space group = Immm

Cell: 6.328 6.328 6.328 Å, 152.65 133.16 55.09°
Sites, in units of the cell vectors:
1 La 0.000 0.000 0.000
2 Ta 0.289 0.789 0.500
3 Ta 0.711 0.211 0.500
4 Ir 0.500 0.500 0.000

*B*
## LaTa2Ir (PBE-GGA)

Data for an optimized crystal structure of LaTa2Ir.

space group = I4/mmm

Cell: 5.809 5.809 5.809 Å, 139.33 139.33 58.88°
Sites, in units of the cell vectors:
1 La 0.000 0.000 0.000
2 Ta 0.250 0.750 0.500
3 Ta 0.750 0.250 0.500
4 Ir 0.500 0.500 0.000

*C*
## LaTa2Ir (PBE-GGA)

Data for an optimized crystal structure of LaTa2Ir.

space group = Cmmm

Cell: 5.664 5.664 2.942 Å, 90.00 90.00 122.00°
Sites, in units of the cell vectors:
1 La 0.000 0.000 0.000
2 Ta 0.000 0.500 0.500
3 Ta 0.500 0.000 0.500
4 Ir 0.500 0.500 0.000

The most stable arrangement is *A*, and the next structure is 0.201 eV/atom less stable.

*A*
## LaTa2Ir (PBE-GGA)

Data for an optimized crystal structure of LaTa2Ir.

space group = I-42d

Cell: 6.344 6.344 6.344 Å, 101.89 101.89 126.02°
Sites, in units of the cell vectors:
1 La 0.000 0.000 0.000
2 La 0.750 0.250 0.500
3 Ta 0.188 0.625 0.063
4 Ta 0.375 0.438 0.563
5 Ta 0.562 0.125 0.937
6 Ta 0.875 0.812 0.437
7 Ir 0.250 0.750 0.500
8 Ir 0.500 0.500 0.000

*B*
## LaTa2Ir (PBE-GGA)

Data for an optimized crystal structure of LaTa2Ir.

space group = Pmmm

Cell: 3.364 4.844 4.874 Å, 90.00 90.00 90.00°
Sites, in units of the cell vectors:
1 La 0.000 0.000 0.000
2 Ta 0.000 0.500 0.500
3 Ta 0.500 0.000 0.500
4 Ir 0.500 0.500 0.000

The most stable arrangement is *B*, and the next structure is 0.116 eV/atom less stable.